Density functional theory data (GGA-PBE) for an optimized crystal structure of LiGa2Ru.

## Properties
E_form (eV per atom): -0.378
Offset from the most stable computed form (meV/atom): 0.0
Volume (Å³/f.u.): 56
Crystal system: tetragonal
Total moment (μB per formula unit): 0.00

a b c (Å): 3.1406 3.1406 5.7016
angles (deg): 90.00 90.00 90.00
Last column: nearest neighbours and their distance in Å.
Atoms (fractional coordinates):
1 Li 0.0000 0.0000 0.0000  8 Ga 2.65, 2 Ru 2.85
2 Ga 0.5000 0.5000 0.2550  4 Ru 2.62, 4 Li 2.65, 2 Ga 2.79-2.91
3 Ga 0.5000 0.5000 0.7450  4 Ru 2.62, 4 Li 2.65, 2 Ga 2.79-2.91
4 Ru 0.0000 0.0000 0.5000  8 Ga 2.62, 2 Li 2.85

Density functional theory data (GGA-PBE) for an optimized crystal structure of TeC3.

## Properties
Offset from the most stable computed form (meV/atom): 2672.1
Volume (Å³/f.u.): 46
Formation energy from raw total energies (eV/f.u.): 14.6
Crystal system: cubic
Total moment (μB per formula unit): 0.00

a b c (Å): 3.5956 3.5956 3.5956
angles (deg): 90.00 90.00 90.00
Last column: nearest neighbours and their distance in Å.
Atoms (fractional coordinates):
1 Te 0.0000 0.0000 0.0000  12 C 2.54
2 C 0.0000 0.5000 0.5000  4 Te 2.54, 8 C 2.54
3 C 0.5000 0.0000 0.5000  4 Te 2.54, 8 C 2.54
4 C 0.5000 0.5000 0.0000  4 Te 2.54, 8 C 2.54

Density functional theory data (GGA-PBE) for an optimized crystal structure of ReW3Se.

## Properties
Offset from the most stable computed form (meV/atom): 0.0
Volume (Å³/f.u.): 92
Formation energy from raw total energies (eV/f.u.): 9.3
Crystal system: cubic
Total moment (μB per formula unit): 0.00

a b c (Å): 4.5194 4.5194 4.5194
angles (deg): 90.00 90.00 90.00
Last column: nearest neighbours and their distance in Å.
Atoms (fractional coordinates):
1 Re 0.0000 0.0000 0.0000  12 W 3.20
2 W 0.0000 0.5000 0.5000  2 Se 2.26
3 W 0.5000 0.0000 0.5000  2 Se 2.26
4 W 0.5000 0.5000 0.0000  2 Se 2.26
5 Se 0.5000 0.5000 0.5000  6 W 2.26

Density functional theory data (GGA-PBE) for an optimized crystal structure of GaCSN2.

## Properties
Offset from the most stable computed form (meV/atom): 0.0
Volume (Å³/f.u.): 67
Formation energy from raw total energies (eV/f.u.): 8.8
Crystal system: tetragonal
Total moment (μB per formula unit): 0.00

a b c (Å): 3.1993 3.1993 6.5401
angles (deg): 90.00 90.00 90.00
Last column: nearest neighbours and their distance in Å.
Atoms (fractional coordinates):
1 Ga 0.0000 0.0000 0.0000  4 S 2.26
2 C 0.5000 0.5000 0.5000  4 N 1.60
3 S 0.5000 0.5000 0.0000  4 Ga 2.26
4 N 0.0000 0.5000 0.5000  2 C 1.60
5 N 0.5000 0.0000 0.5000  2 C 1.60

Density functional theory data (GGA-PBE) for an optimized crystal structure of LaP2RhS.

## Properties
Offset from the most stable computed form (meV/atom): 0.0
Volume (Å³/f.u.): 104
Formation energy from raw total energies (eV/f.u.): -2.8
Crystal system: tetragonal
Total moment (μB per formula unit): 0.00

a b c (Å): 4.5222 4.5222 5.0863
angles (deg): 90.00 90.00 90.00
Last column: nearest neighbours and their distance in Å.
Atoms (fractional coordinates):
1 La 0.0000 0.0000 0.0000  4 S 3.20, 8 P 3.40
2 P 0.0000 0.5000 0.5000  2 Rh 2.26
3 P 0.5000 0.0000 0.5000  2 Rh 2.26
4 Rh 0.5000 0.5000 0.5000  4 P 2.26
5 S 0.5000 0.5000 0.0000  2 Rh 2.54

Density functional theory data (GGA-PBE) for an optimized crystal structure of K2FeN2.

## Properties
Volume (Å³/f.u.): 92
Formation energy from raw total energies (eV/f.u.): 0.0
Crystal system: orthorhombic
Total moment (μB per formula unit): 0.00

a b c (Å): 9.5124 9.5124 5.9984
angles (deg): 90.00 90.00 160.20
Last column: nearest neighbours and their distance in Å.
Atoms (fractional coordinates):
1 K 0.0277 0.9723 0.5000  5 N 2.87-2.97, 2 K 3.17
2 K 0.1980 0.8020 0.6571  3 N 2.87-2.96
3 K 0.8020 0.1980 0.1571  3 N 2.87-2.96
4 K 0.9723 0.0277 0.0000  5 N 2.87-2.97, 2 K 3.17
5 Fe 0.3695 0.6305 0.5861  3 N 1.62-1.78
6 Fe 0.6305 0.3695 0.0861  3 N 1.62-1.78
7 N 0.1507 0.8493 0.1868  2 Fe 1.78
8 N 0.4115 0.5885 0.3508  1 Fe 1.62
9 N 0.5885 0.4115 0.8508  1 Fe 1.62
10 N 0.8493 0.1507 0.6868  2 Fe 1.78

Density functional theory data (GGA-PBE) for an optimized crystal structure of RbTcPt3.

## Properties
E_form (eV per atom): 0.721
Volume (Å³/f.u.): 120
Crystal system: cubic
Total moment (μB per formula unit): 0.00

a b c (Å): 4.9372 4.9372 4.9372
angles (deg): 90.00 90.00 90.00
Last column: nearest neighbours and their distance in Å.
Atoms (fractional coordinates):
1 Rb 0.0000 0.0000 0.0000  12 Pt 3.49
2 Tc 0.5000 0.5000 0.5000  6 Pt 2.47
3 Pt 0.0000 0.5000 0.5000  2 Tc 2.47
4 Pt 0.5000 0.0000 0.5000  2 Tc 2.47
5 Pt 0.5000 0.5000 0.0000  2 Tc 2.47

Density functional theory data (GGA-PBE) for an optimized crystal structure of Pu3Al4Au7.

## Properties
E_form (eV per atom): -0.458
Volume (Å³/f.u.): 284
Crystal system: monoclinic
Total moment (μB per formula unit): 17.02

a b c (Å): 8.5272 8.5272 9.5296
angles (deg): 123.81 123.81 30.09
Last column: nearest neighbours and their distance in Å.
Atoms (fractional coordinates):
1 Pu 0.0000 0.0000 0.0000  6 Au 3.15-3.41, 6 Al 3.18-3.48
2 Pu 0.3163 0.3163 0.3117  9 Au 3.12-3.45, 5 Al 3.17-3.41
3 Pu 0.6837 0.6837 0.6883  9 Au 3.12-3.45, 5 Al 3.17-3.41
4 Al 0.1269 0.1269 0.4072  6 Au 2.68-2.78
5 Al 0.3257 0.3257 0.9639  5 Au 2.57-2.69
6 Al 0.6743 0.6743 0.0361  5 Au 2.57-2.69
7 Al 0.8731 0.8731 0.5928  6 Au 2.68-2.78
8 Au 0.0000 0.0000 0.5000  2 Al 2.70, 2 Au 2.92
9 Au 0.1393 0.1393 0.8737  3 Al 2.57-2.67
10 Au 0.3155 0.3155 0.6839  4 Al 2.58-2.74, 1 Au 2.80
11 Au 0.4983 0.4983 0.7262  3 Al 2.69-2.78, 3 Au 2.80-2.92
12 Au 0.5017 0.5017 0.2738  3 Al 2.69-2.78, 3 Au 2.80-2.92
13 Au 0.6845 0.6845 0.3161  4 Al 2.58-2.74, 1 Au 2.80
14 Au 0.8607 0.8607 0.1263  3 Al 2.57-2.67

Density functional theory data (GGA-PBE) for an optimized crystal structure of Rb2SeI6F.

## Properties
Volume (Å³/f.u.): 384
Formation energy from raw total energies (eV/f.u.): -6.9
Crystal system: tetragonal
Total moment (μB per formula unit): 0.84

a b c (Å): 8.3267 8.3267 8.3267
angles (deg): 123.59 123.59 83.88
Last column: nearest neighbours and their distance in Å.
Atoms (fractional coordinates):
1 Rb 0.2500 0.7500 0.5000  12 I 3.94-4.16
2 Rb 0.7500 0.2500 0.5000  12 I 3.94-4.16
3 Se 0.0000 0.0000 0.0000  6 I 2.85-2.86
4 I 0.2299 0.2299 0.0000  1 Se 2.85
5 I 0.2567 0.2567 0.5133  1 F 2.71, 1 Se 2.86
6 I 0.2567 0.7433 0.0000  1 F 2.71, 1 Se 2.86
7 I 0.7433 0.2567 0.0000  1 F 2.71, 1 Se 2.86
8 I 0.7433 0.7433 0.4867  1 F 2.71, 1 Se 2.86
9 I 0.7701 0.7701 0.0000  1 Se 2.85
10 F 0.5000 0.5000 0.0000  4 I 2.71

Density functional theory data (GGA-PBE) for an optimized crystal structure of LiCo3I.

## Properties
Offset from the most stable computed form (meV/atom): 0.0
Volume (Å³/f.u.): 72
Formation energy from raw total energies (eV/f.u.): 5.7
Crystal system: cubic
Total moment (μB per formula unit): 4.38

a b c (Å): 4.1647 4.1647 4.1647
angles (deg): 90.00 90.00 90.00
Last column: nearest neighbours and their distance in Å.
Atoms (fractional coordinates):
1 Li 0.0000 0.0000 0.0000  6 Co 2.08
2 Co 0.0000 0.0000 0.5000  2 Li 2.08
3 Co 0.0000 0.5000 0.0000  2 Li 2.08
4 Co 0.5000 0.0000 0.0000  2 Li 2.08
5 I 0.5000 0.5000 0.5000  12 Co 2.94

Density functional theory data (GGA-PBE) for an optimized crystal structure of Ce3Ga5N12.

## Properties
Volume (Å³/f.u.): 254
Formation energy from raw total energies (eV/f.u.): 1.5
Crystal system: cubic
Total moment (μB per formula unit): 4.26

a b c (Å): 10.9712 10.9712 10.9712
angles (deg): 109.47 109.47 109.47
Last column: nearest neighbours and their distance in Å.
Atoms (fractional coordinates):
1 Ce 0.1250 0.2500 0.3750  8 N 2.42-2.44
2 Ce 0.1250 0.3750 0.7500  8 N 2.42-2.44
3 Ce 0.2500 0.3750 0.1250  8 N 2.42-2.44
4 Ce 0.2500 0.8750 0.6250  8 N 2.42-2.44
5 Ce 0.3750 0.1250 0.2500  8 N 2.42-2.44
6 Ce 0.3750 0.7500 0.1250  8 N 2.42-2.44
7 Ce 0.6250 0.2500 0.8750  8 N 2.42-2.44
8 Ce 0.6250 0.8750 0.7500  8 N 2.42-2.44
9 Ce 0.7500 0.1250 0.3750  8 N 2.42-2.44
10 Ce 0.7500 0.6250 0.8750  8 N 2.42-2.44
11 Ce 0.8750 0.6250 0.2500  8 N 2.42-2.44
12 Ce 0.8750 0.7500 0.6250  8 N 2.42-2.44
13 Ga 0.0000 0.0000 0.0000  6 N 2.10
14 Ga 0.0000 0.0000 0.5000  6 N 2.10
15 Ga 0.0000 0.5000 0.0000  6 N 2.10
16 Ga 0.0000 0.5000 0.5000  6 N 2.10
17 Ga 0.1250 0.7500 0.8750  4 N 1.93
18 Ga 0.1250 0.8750 0.2500  4 N 1.93
19 Ga 0.2500 0.1250 0.8750  4 N 1.93
20 Ga 0.2500 0.6250 0.3750  4 N 1.93
21 Ga 0.3750 0.2500 0.6250  4 N 1.93
22 Ga 0.3750 0.6250 0.7500  4 N 1.93
23 Ga 0.5000 0.0000 0.0000  6 N 2.10
24 Ga 0.5000 0.0000 0.5000  6 N 2.10
25 Ga 0.5000 0.5000 0.0000  6 N 2.10
26 Ga 0.5000 0.5000 0.5000  6 N 2.10
27 Ga 0.6250 0.3750 0.2500  4 N 1.93
28 Ga 0.6250 0.7500 0.3750  4 N 1.93
29 Ga 0.7500 0.3750 0.6250  4 N 1.93
30 Ga 0.7500 0.8750 0.1250  4 N 1.93
31 Ga 0.8750 0.1250 0.7500  4 N 1.93
32 Ga 0.8750 0.2500 0.1250  4 N 1.93
33 N 0.0346 0.2127 0.1246  2 Ga 1.93-2.10
34 N 0.0346 0.3219 0.9100  2 Ga 1.93-2.10
35 N 0.0881 0.7127 0.6781  2 Ga 1.93-2.10
36 N 0.0881 0.8754 0.4100  2 Ga 1.93-2.10
37 N 0.0900 0.6246 0.4119  2 Ga 1.93-2.10
38 N 0.0900 0.9654 0.6781  2 Ga 1.93-2.10
39 N 0.1246 0.0346 0.2127  2 Ga 1.93-2.10
40 N 0.1246 0.5900 0.9119  2 Ga 1.93-2.10
41 N 0.1781 0.2127 0.5881  2 Ga 1.93-2.10
42 N 0.1781 0.4654 0.5900  2 Ga 1.93-2.10
43 N 0.2127 0.1246 0.0346  2 Ga 1.93-2.10
44 N 0.2127 0.5881 0.1781  2 Ga 1.93-2.10
45 N 0.2873 0.3219 0.9119  2 Ga 1.93-2.10
46 N 0.2873 0.4654 0.3754  2 Ga 1.93-2.10
47 N 0.3219 0.9100 0.0346  2 Ga 1.93-2.10
48 N 0.3219 0.9119 0.2873  2 Ga 1.93-2.10
49 N 0.3754 0.2873 0.4654  2 Ga 1.93-2.10
50 N 0.3754 0.5881 0.9100  2 Ga 1.93-2.10
51 N 0.4100 0.0881 0.8754  2 Ga 1.93-2.10
52 N 0.4100 0.8219 0.5346  2 Ga 1.93-2.10
53 N 0.4119 0.0900 0.6246  2 Ga 1.93-2.10
54 N 0.4119 0.8219 0.7873  2 Ga 1.93-2.10
55 N 0.4654 0.3754 0.2873  2 Ga 1.93-2.10
56 N 0.4654 0.5900 0.1781  2 Ga 1.93-2.10
57 N 0.5346 0.4100 0.8219  2 Ga 1.93-2.10
58 N 0.5346 0.6246 0.7127  2 Ga 1.93-2.10
59 N 0.5881 0.1781 0.2127  2 Ga 1.93-2.10
60 N 0.5881 0.9100 0.3754  2 Ga 1.93-2.10
61 N 0.5900 0.1781 0.4654  2 Ga 1.93-2.10
62 N 0.5900 0.9119 0.1246  2 Ga 1.93-2.10
63 N 0.6246 0.4119 0.0900  2 Ga 1.93-2.10
64 N 0.6246 0.7127 0.5346  2 Ga 1.93-2.10
65 N 0.6781 0.0881 0.7127  2 Ga 1.93-2.10
66 N 0.6781 0.0900 0.9654  2 Ga 1.93-2.10
67 N 0.7127 0.5346 0.6246  2 Ga 1.93-2.10
68 N 0.7127 0.6781 0.0881  2 Ga 1.93-2.10
69 N 0.7873 0.4119 0.8219  2 Ga 1.93-2.10
70 N 0.7873 0.8754 0.9654  2 Ga 1.93-2.10
71 N 0.8219 0.5346 0.4100  2 Ga 1.93-2.10
72 N 0.8219 0.7873 0.4119  2 Ga 1.93-2.10
73 N 0.8754 0.4100 0.0881  2 Ga 1.93-2.10
74 N 0.8754 0.9654 0.7873  2 Ga 1.93-2.10
75 N 0.9100 0.0346 0.3219  2 Ga 1.93-2.10
76 N 0.9100 0.3754 0.5881  2 Ga 1.93-2.10
77 N 0.9119 0.1246 0.5900  2 Ga 1.93-2.10
78 N 0.9119 0.2873 0.3219  2 Ga 1.93-2.10
79 N 0.9654 0.6781 0.0900  2 Ga 1.93-2.10
80 N 0.9654 0.7873 0.8754  2 Ga 1.93-2.10

Density functional theory data (GGA-PBE) for an optimized crystal structure of Ti8ReSi2.

## Properties
Volume (Å³/f.u.): 179
Formation energy from raw total energies (eV/f.u.): -3.9
Crystal system: monoclinic
Total moment (μB per formula unit): 0.00

a b c (Å): 7.5876 7.5876 6.6523
angles (deg): 112.52 112.52 30.56
Last column: nearest neighbours and their distance in Å.
Atoms (fractional coordinates):
1 Ti 0.0317 0.0317 0.2963  2 Re 2.56, 1 Si 2.74, 4 Ti 2.75-2.76
2 Ti 0.1832 0.1832 0.7759  3 Si 2.61-2.66, 1 Ti 2.91
3 Ti 0.3271 0.3271 0.5745  3 Si 2.62-2.68, 6 Ti 2.76-2.91, 1 Re 2.77
4 Ti 0.4113 0.4113 0.0450  2 Si 2.57, 3 Ti 2.75-2.87, 1 Re 2.78
5 Ti 0.5887 0.5887 0.9550  2 Si 2.57, 3 Ti 2.75-2.87, 1 Re 2.78
6 Ti 0.6729 0.6729 0.4255  3 Si 2.62-2.68, 6 Ti 2.76-2.91, 1 Re 2.77
7 Ti 0.8168 0.8168 0.2241  3 Si 2.61-2.66, 1 Ti 2.91
8 Ti 0.9683 0.9683 0.7037  2 Re 2.56, 1 Si 2.74, 4 Ti 2.75-2.76
9 Re 0.5000 0.5000 0.5000  8 Ti 2.56-2.78
10 Si 0.1901 0.1901 0.1741  9 Ti 2.57-2.74
11 Si 0.8099 0.8099 0.8259  9 Ti 2.57-2.74